1.
# Sm4SiGeS2 (PBE, optimized geometry)
data_Sm4SiGeS2
_space_group_name_H-M_alt 'P 1 2/m 1'
_space_group_IT_number 10
_space_group_name_Hall '-P 2y'
_cell_length_a 7.133
_cell_length_b 4.130
_cell_length_c 7.199
_cell_angle_alpha 90.00
_cell_angle_beta 109.32
_cell_angle_gamma 90.00
loop_
_atom_site_label
_atom_site_type_symbol
_atom_site_fract_x
_atom_site_fract_y
_atom_site_fract_z
Sm1 Sm 0.248 0.000 0.250
Sm2 Sm 0.249 0.500 0.749
Si1 Si 0.000 0.500 0.000
Ge1 Ge 0.500 0.000 0.000
S1 S 0.000 0.000 0.500
S2 S 0.500 0.500 0.500
# Energy in eV/atom: -6.06
# Magnetic moment in μB/cell: 0.0
# Formation energy (no corrections) in eV/atom: -1.409
# Fermi-level density of states in states/eV/cell: 2.890

=====

2.
# Sm6Si2GeS3 (PBE, optimized geometry)
data_Sm6Si2GeS3
_space_group_name_H-M_alt 'C 1 2/m 1'
_space_group_IT_number 12
_space_group_name_Hall '-C 2y'
_cell_length_a 18.045
_cell_length_b 4.131
_cell_length_c 8.285
_cell_angle_alpha 90.00
_cell_angle_beta 103.93
_cell_angle_gamma 90.00
loop_
_atom_site_label
_atom_site_type_symbol
_atom_site_fract_x
_atom_site_fract_y
_atom_site_fract_z
Sm1 Sm 0.000 0.000 0.249
Sm2 Sm 0.167 0.500 0.083
Sm3 Sm 0.168 0.500 0.585
Si1 Si 0.167 0.000 0.833
Ge1 Ge 0.000 0.500 0.500
S1 S 0.000 0.500 0.000
S2 S 0.167 0.000 0.333
# Energy in eV/atom: -6.08
# Magnetic moment in μB/cell: 0.0
# Formation energy (no corrections) in eV/atom: -1.396
# Fermi-level density of states in states/eV/cell: 7.297

=====

3.
# SrSi2GeS8 (PBE, optimized geometry)
data_SrSi2GeS8
_space_group_name_H-M_alt 'P -3'
_space_group_IT_number 147
_space_group_name_Hall '-P 3'
_cell_length_a 5.8720
_cell_length_b 5.8720
_cell_length_c 8.7004
_cell_angle_alpha 90.00
_cell_angle_beta 90.00
_cell_angle_gamma 120.00
loop_
_atom_site_label
_atom_site_type_symbol
_atom_site_fract_x
_atom_site_fract_y
_atom_site_fract_z
Sr1 Sr 0.0000 0.0000 0.0000
Si1 Si 0.3333 0.6667 0.7385
Ge1 Ge 0.0000 0.0000 0.5000
S1 S 0.0186 0.6908 0.3230
S2 S 0.3333 0.6667 0.9818
# Energy in eV/atom: -4.69
# Magnetic moment in μB/cell: 0.0
# Formation energy (no corrections) in eV/atom: -0.511
# Fermi-level density of states in states/eV/cell: 10.801